Here is an optimized crystal structure of TaAl2ZnNi from Alexandria via LeMat-Bulk. Energies are from PBE.

a = 4.350 Å, b = 4.401 Å, c = 4.350 Å
α = 90.00°, β = 90.00°, γ = 90.00°
Element x y z (fractional)
1 Ni 0.000 0.000 0.000
2 Ta 0.500 0.500 0.500
3 Al 0.500 0.000 0.000
4 Al 0.000 0.000 0.500
5 Zn 0.000 0.500 0.000

Its energy of formation is 408.2 meV/atom. Its symmetry is P4/mmm (123). Its density of states at the Fermi level is 4.155 states/eV per cell.